Ac3Sm5S12: relaxed, PBE.

Crystal system: cubic
Total moment: 0.00 μB per cell
Space group: Ia-3d, No. 230
E: -6.27 eV/atom

Cell lengths 14.555, 14.555, 14.555 Å; angles 109.47, 109.47, 109.47 degrees
Fractional positions:
Ac1 0.125 0.250 0.375
Ac2 0.125 0.375 0.750
Ac3 0.250 0.375 0.125
Ac4 0.250 0.875 0.625
Ac5 0.375 0.125 0.250
Ac6 0.375 0.750 0.125
Ac7 0.625 0.250 0.875
Ac8 0.625 0.875 0.750
Ac9 0.750 0.125 0.375
Ac10 0.750 0.625 0.875
Ac11 0.875 0.625 0.250
Ac12 0.875 0.750 0.625
Sm1 0.000 0.000 0.000
Sm2 0.000 0.000 0.500
Sm3 0.000 0.500 0.000
Sm4 0.000 0.500 0.500
Sm5 0.125 0.750 0.875
Sm6 0.125 0.875 0.250
Sm7 0.250 0.125 0.875
Sm8 0.250 0.625 0.375
Sm9 0.375 0.250 0.625
Sm10 0.375 0.625 0.750
Sm11 0.500 0.000 0.000
Sm12 0.500 0.000 0.500
Sm13 0.500 0.500 0.000
Sm14 0.500 0.500 0.500
Sm15 0.625 0.375 0.250
Sm16 0.625 0.750 0.375
Sm17 0.750 0.375 0.625
Sm18 0.750 0.875 0.125
Sm19 0.875 0.125 0.750
Sm20 0.875 0.250 0.125
S1 0.043 0.218 0.129
S2 0.043 0.326 0.914
S3 0.086 0.629 0.412
S4 0.086 0.957 0.674
S5 0.088 0.718 0.674
S6 0.088 0.871 0.414
S7 0.129 0.043 0.218
S8 0.129 0.586 0.912
S9 0.174 0.218 0.588
S10 0.174 0.457 0.586
S11 0.218 0.129 0.043
S12 0.218 0.588 0.174
S13 0.282 0.326 0.912
S14 0.282 0.457 0.371
S15 0.326 0.912 0.282
S16 0.326 0.914 0.043
S17 0.371 0.282 0.457
S18 0.371 0.588 0.914
S19 0.412 0.086 0.629
S20 0.412 0.826 0.782
S21 0.414 0.088 0.871
S22 0.414 0.826 0.543
S23 0.457 0.371 0.282
S24 0.457 0.586 0.174
S25 0.543 0.414 0.826
S26 0.543 0.629 0.718
S27 0.586 0.174 0.457
S28 0.586 0.912 0.129
S29 0.588 0.174 0.218
S30 0.588 0.914 0.371
S31 0.629 0.412 0.086
S32 0.629 0.718 0.543
S33 0.674 0.086 0.957
S34 0.674 0.088 0.718
S35 0.718 0.543 0.629
S36 0.718 0.674 0.088
S37 0.782 0.412 0.826
S38 0.782 0.871 0.957
S39 0.826 0.543 0.414
S40 0.826 0.782 0.412
S41 0.871 0.414 0.088
S42 0.871 0.957 0.782
S43 0.912 0.129 0.586
S44 0.912 0.282 0.326
S45 0.914 0.043 0.326
S46 0.914 0.371 0.588
S47 0.957 0.674 0.086
S48 0.957 0.782 0.871